No. 1
# CaTcTe

CaTcTe at its PBEsol-relaxed geometry (meta-GGA SCAN, Alexandria via LeMat-Bulk).

abc: 3.5176 3.5176 6.5548
angles: 90.00 90.00 120.00
Fractional coordinates of all 3 atoms:
Tc (0.6667, 0.3333, 0.6315)
Te (0.3333, 0.6667, 0.3861)
Ca (0.0000, 0.0000, 0.9824)

E_form (uncorrected) (eV/atom): 0.0763
D(E_F) (states/eV/f.u.): 1.087
Final energy (eV per atom): -27.25
Symmetry: P3m1
Offset from the most stable computed form (meV/atom): 0

---

No. 2
# CaTc2Te2

CaTc2Te2 at its PBEsol-relaxed geometry (meta-GGA SCAN, Alexandria via LeMat-Bulk).

abc: 4.4183 4.4183 6.5690
angles: 109.65 109.65 90.00
Fractional coordinates of all 5 atoms:
Tc (0.2500, 0.7500, 0.5000)
Tc (0.7500, 0.2500, 0.5000)
Te (0.3629, 0.3629, 0.7257)
Te (0.6371, 0.6371, 0.2743)
Ca (0.0000, 0.0000, 0.0000)

E_form (uncorrected) (eV/atom): -0.2074
D(E_F) (states/eV/f.u.): 3.995
Final energy (eV per atom): -31.06
Symmetry: I4/mmm

---

No. 3
# CaTcTe

CaTcTe at its PBEsol-relaxed geometry (meta-GGA SCAN, Alexandria via LeMat-Bulk).

abc: 4.5635 4.5635 4.5635
angles: 60.00 60.00 60.00
Fractional coordinates of all 3 atoms:
Tc (0.2500, 0.2500, 0.2500)
Ca (0.5000, 0.5000, 0.5000)
Te (0.0000, 0.0000, 0.0000)

E_form (uncorrected) (eV/atom): 0.1394
D(E_F) (states/eV/f.u.): 3.317
Final energy (eV per atom): -27.19
Symmetry: F-43m
Offset from the most stable computed form (meV/atom): 63

---

No. 4
# CaTcTe2

CaTcTe2 at its PBEsol-relaxed geometry (meta-GGA SCAN, Alexandria via LeMat-Bulk).

abc: 4.1603 4.7644 5.9961
angles: 90.00 110.30 90.00
Fractional coordinates of all 4 atoms:
Tc (0.8156, 0.5000, 0.6312)
Te (0.8976, 0.0000, 0.7952)
Te (0.1806, 0.5000, 0.3611)
Ca (0.6117, 0.0000, 0.2233)

E_form (uncorrected) (eV/atom): -0.4293
D(E_F) (states/eV/f.u.): 2.550
Final energy (eV per atom): -30.24
Symmetry: Amm2
Offset from the most stable computed form (meV/atom): 0

---

No. 5
# CaTcTe2

CaTcTe2 at its PBEsol-relaxed geometry (meta-GGA SCAN, Alexandria via LeMat-Bulk).

abc: 3.5171 4.8038 6.7591
angles: 108.67 90.00 111.47
Fractional coordinates of all 4 atoms:
Te (0.2365, 0.4729, 0.7713)
Te (0.0619, 0.1239, 0.1580)
Tc (0.7522, 0.5043, 0.0807)
Ca (0.4495, 0.8989, 0.4900)

E_form (uncorrected) (eV/atom): -0.4184
D(E_F) (states/eV/f.u.): 2.019
Final energy (eV per atom): -30.22
Symmetry: Cm
Offset from the most stable computed form (meV/atom): 11

---

No. 6
# CaTlTc2

CaTlTc2 at its PBEsol-relaxed geometry (meta-GGA SCAN, Alexandria via LeMat-Bulk).

abc: 3.4329 4.5309 5.4904
angles: 114.37 108.22 90.00
Fractional coordinates of all 4 atoms:
Ca (0.0000, 0.5000, 0.0000)
Tl (0.5000, 0.0000, 0.0000)
Tc (0.2440, 0.2440, 0.4881)
Tc (0.7560, 0.7560, 0.5119)

Calculated formation energy (eV/atom): 0.739
D(E_F) (states/eV/f.u.): 3.441
Final energy (eV per atom): -37.30
Symmetry: Immm
Offset from the most stable computed form (meV/atom): 67

---

No. 7
# CaTlTc2

CaTlTc2 at its PBEsol-relaxed geometry (meta-GGA SCAN, Alexandria via LeMat-Bulk).

abc: 3.4539 4.5115 4.6110
angles: 90.00 90.00 90.00
Fractional coordinates of all 4 atoms:
Ca (0.0000, 0.5000, 0.5000)
Tc (0.0000, 0.0000, 0.0000)
Tc (0.5000, 0.5000, 0.0000)
Tl (0.5000, 0.0000, 0.5000)

Calculated formation energy (eV/atom): 0.672
D(E_F) (states/eV/f.u.): 3.165
Final energy (eV per atom): -37.36
Symmetry: Pmmm
Offset from the most stable computed form (meV/atom): 0

---

No. 8
# CaTl2Tc

CaTl2Tc at its PBEsol-relaxed geometry (meta-GGA SCAN, Alexandria via LeMat-Bulk).

abc: 3.6252 4.7294 5.8681
angles: 113.76 107.99 90.00
Fractional coordinates of all 4 atoms:
Ca (0.5227, 0.5227, 0.0455)
Tl (0.9730, 0.9730, 0.9459)
Tl (0.7446, 0.2446, 0.4892)
Tc (0.2597, 0.7597, 0.5194)

Calculated formation energy (eV/atom): 0.359
D(E_F) (states/eV/f.u.): 2.113
Final energy (eV per atom): -47.00
Symmetry: Imm2
Offset from the most stable computed form (meV/atom): 25

---

No. 9
# CaTlTc2

CaTlTc2 at its PBEsol-relaxed geometry (meta-GGA SCAN, Alexandria via LeMat-Bulk).

abc: 2.7915 2.7915 9.4999
angles: 90.00 90.00 90.00
Fractional coordinates of all 4 atoms:
Ca (0.5000, 0.5000, 0.5000)
Tc (0.0000, 0.0000, 0.2417)
Tc (0.0000, 0.0000, 0.7583)
Tl (0.5000, 0.5000, 0.0000)

Calculated formation energy (eV/atom): 0.954
D(E_F) (states/eV/f.u.): 4.706
Final energy (eV per atom): -37.08
Symmetry: P4/mmm
Offset from the most stable computed form (meV/atom): 282

---

No. 10
# CaTlTc2

CaTlTc2 at its PBEsol-relaxed geometry (meta-GGA SCAN, Alexandria via LeMat-Bulk).

abc: 4.7184 4.7184 4.7184
angles: 60.00 60.00 60.00
Site moments in Bohr magnetons follow the coordinates.
Fractional coordinates of all 4 atoms:
Tc (0.2500, 0.2500, 0.2500)  2.06
Tc (0.7500, 0.7500, 0.7500)  2.06
Ca (0.0000, 0.0000, 0.0000)  0.12
Tl (0.5000, 0.5000, 0.5000)  -0.06

Calculated formation energy (eV/atom): 0.786
D(E_F) (states/eV/f.u.): 1.750
Final energy (eV per atom): -37.25
Symmetry: Fm-3m
Offset from the most stable computed form (meV/atom): 114

---

No. 11
# CaTl2Tc

CaTl2Tc at its PBEsol-relaxed geometry (meta-GGA SCAN, Alexandria via LeMat-Bulk).

abc: 4.0802 4.5383 4.5383
angles: 90.00 90.00 90.00
Site moments in Bohr magnetons follow the coordinates.
Fractional coordinates of all 4 atoms:
Tl (0.0000, 0.0000, 0.5000)  -0.02
Tl (0.0000, 0.5000, 0.0000)  -0.02
Tc (0.5000, 0.0000, 0.0000)  1.97
Ca (0.5000, 0.5000, 0.5000)  -0.03

Calculated formation energy (eV/atom): 0.334
D(E_F) (states/eV/f.u.): 2.204
Final energy (eV per atom): -47.03
Symmetry: P4/mmm
Offset from the most stable computed form (meV/atom): 0

---

No. 12
# Ca2YTc

Ca2YTc at its PBEsol-relaxed geometry (meta-GGA SCAN, Alexandria via LeMat-Bulk).

abc: 3.3415 4.5808 8.4049
angles: 105.81 101.47 90.00
Site moments in Bohr magnetons follow the coordinates.
Fractional coordinates of all 4 atoms:
Ca (0.1609, 0.1609, 0.3217)  0.02
Ca (0.8391, 0.8391, 0.6783)  0.02
Y (0.0000, 0.5000, 0.0000)  -0.05
Tc (0.5000, 0.0000, 0.0000)  0.65

Calculated formation energy (eV/atom): 0.346
D(E_F) (states/eV/f.u.): 4.195
Final energy (eV per atom): -20.21
Symmetry: Immm
Offset from the most stable computed form (meV/atom): 0

---

No. 13
# CaYTc

CaYTc at its PBEsol-relaxed geometry (meta-GGA SCAN, Alexandria via LeMat-Bulk).

abc: 4.7624 4.7624 4.7624
angles: 60.00 60.00 60.00
Site moments in Bohr magnetons follow the coordinates.
Fractional coordinates of all 3 atoms:
Tc (0.5000, 0.5000, 0.5000)  1.51
Ca (0.0000, 0.0000, 0.0000)  -0.05
Y (0.2500, 0.2500, 0.2500)  0.00

Calculated formation energy (eV/atom): 1.233
D(E_F) (states/eV/f.u.): 4.672
Final energy (eV per atom): -22.96
Symmetry: F-43m

---

No. 14
# Ca2YTc

Ca2YTc at its PBEsol-relaxed geometry (meta-GGA SCAN, Alexandria via LeMat-Bulk).

abc: 4.4613 4.4613 5.8768
angles: 112.31 112.31 90.00
Fractional coordinates of all 4 atoms:
Ca (0.7500, 0.2500, 0.5000)
Ca (0.2500, 0.7500, 0.5000)
Tc (0.5000, 0.5000, 0.0000)
Y (0.0000, 0.0000, 0.0000)

Calculated formation energy (eV/atom): 0.539
D(E_F) (states/eV/f.u.): 2.737
Final energy (eV per atom): -20.02
Symmetry: I4/mmm
Offset from the most stable computed form (meV/atom): 192

---

No. 15
# CaYTc2

CaYTc2 at its PBEsol-relaxed geometry (meta-GGA SCAN, Alexandria via LeMat-Bulk).

abc: 2.9249 2.9249 9.2891
angles: 90.00 90.00 108.73
Fractional coordinates of all 4 atoms:
Tc (0.0000, 0.0000, 0.2578)
Tc (0.0000, 0.0000, 0.7422)
Y (0.5000, 0.5000, 0.5000)
Ca (0.5000, 0.5000, 0.0000)

Calculated formation energy (eV/atom): 0.613
D(E_F) (states/eV/f.u.): 3.476
Final energy (eV per atom): -26.29
Symmetry: Cmmm

---

No. 16
# Ca2ZnTc

Ca2ZnTc at its PBEsol-relaxed geometry (meta-GGA SCAN, Alexandria via LeMat-Bulk).

abc: 4.4115 4.2865 4.2865
angles: 90.00 90.00 90.00
Site moments in Bohr magnetons follow the coordinates.
Fractional coordinates of all 4 atoms:
Ca (0.0000, 0.5000, 0.0000)  -0.02
Ca (0.0000, 0.0000, 0.5000)  -0.02
Tc (0.5000, 0.5000, 0.5000)  0.97
Zn (0.5000, 0.0000, 0.0000)  -0.04

Calculated formation energy (eV/atom): 0.480
D(E_F) (states/eV/f.u.): 3.477
Final energy (eV per atom): -16.50
Symmetry: P4/mmm